No. 1
LaYTc2 | PBE | relaxed

* DOS(E_F): 5.308 states/eV/cell
* energy above the lowest structure with this stoichiometry: 51 meV/atom

Unit cell a=3.1951 b=3.1951 c=9.0295 alpha=90.00 beta=90.00 gamma=90.00
Sites, in units of the cell vectors:
La  0.0000  0.0000  0.0000
Y  0.5000  0.5000  0.6232
Tc  0.0000  0.0000  0.3935
Tc  0.5000  0.5000  0.2477

No. 2
LaZn3Tc | PBE | relaxed

* DOS(E_F): 5.883 states/eV/cell
* energy above the lowest structure with this stoichiometry: 1641 meV/atom

Unit cell a=5.5023 b=5.5023 c=5.5023 alpha=90.00 beta=90.00 gamma=90.00
Sites, in units of the cell vectors:
La  0.0000  0.0000  0.0000
Zn  0.0000  0.0000  0.5000
Zn  0.0000  0.5000  0.0000
Zn  0.5000  0.0000  0.0000
Tc  0.5000  0.5000  0.5000

No. 3
LaZnTc3 | PBE | relaxed

* DOS(E_F): 7.129 states/eV/cell
* energy above the lowest structure with this stoichiometry: 1016 meV/atom

Unit cell a=4.7834 b=4.7834 c=4.7834 alpha=90.00 beta=90.00 gamma=90.00
Sites, in units of the cell vectors:
La  0.0000  0.0000  0.0000
Zn  0.5000  0.5000  0.5000
Tc  0.0000  0.0000  0.5000
Tc  0.0000  0.5000  0.0000
Tc  0.5000  0.0000  0.0000

No. 4
LaZn3Tc | PBE | relaxed

* DOS(E_F): 1.713 states/eV/cell
* energy above the lowest structure with this stoichiometry: 0 meV/atom

Unit cell a=4.8135 b=4.8135 c=4.8135 alpha=90.00 beta=90.00 gamma=90.00
Sites, in units of the cell vectors:
La  0.0000  0.0000  0.0000
Zn  0.0000  0.5000  0.5000
Zn  0.5000  0.0000  0.5000
Zn  0.5000  0.5000  0.0000
Tc  0.5000  0.5000  0.5000

No. 5
La8Zn2Tc | PBE | relaxed

* DOS(E_F): 15.481 states/eV/cell
* energy above the lowest structure with this stoichiometry: 0 meV/atom

Unit cell a=9.5141 b=9.5141 c=7.3189 alpha=94.38 beta=94.38 gamma=30.90
Sites, in units of the cell vectors:
La  0.0114  0.0114  0.2715
La  0.2120  0.2120  0.8146
La  0.3526  0.3526  0.5122
La  0.4060  0.4060  0.0240
La  0.5940  0.5940  0.9760
La  0.6474  0.6474  0.4878
La  0.7880  0.7880  0.1854
La  0.9886  0.9886  0.7285
Zn  0.1868  0.1868  0.2367
Zn  0.8132  0.8132  0.7633
Tc  0.5000  0.5000  0.5000

No. 6
La6ZnTc2 | PBE | relaxed

* DOS(E_F): 18.662 states/eV/cell
* electronic total energy: -5.814 eV per atom

Unit cell a=8.8176 b=8.8176 c=8.8176 alpha=111.41 beta=110.71 gamma=106.34
Sites, in units of the cell vectors:
La  0.0372  0.2342  0.8030
La  0.1837  0.2784  0.4621
La  0.1837  0.7216  0.9052
La  0.3270  0.0123  0.6853
La  0.3270  0.6416  0.3147
La  0.4313  0.2342  0.1970
La  0.5687  0.7658  0.8030
La  0.6730  0.3584  0.6853
La  0.6730  0.9877  0.3147
La  0.8163  0.2784  0.0948
La  0.8163  0.7216  0.5379
La  0.9628  0.7658  0.1970
Zn  0.0000  0.0000  0.0000
Zn  0.5000  0.5000  0.0000
Tc  0.1151  0.6151  0.5000
Tc  0.3186  0.0000  0.3186
Tc  0.6814  0.0000  0.6814
Tc  0.8849  0.3849  0.5000

No. 7
La8Zn2Tc | PBE | relaxed

* DOS(E_F): 14.757 states/eV/cell
* energy above the lowest structure with this stoichiometry: 53 meV/atom

Unit cell a=9.4334 b=9.4334 c=9.4334 alpha=145.57 beta=135.55 gamma=57.41
Sites, in units of the cell vectors:
La  0.1331  0.3719  0.7612
La  0.1963  0.1963  0.0000
La  0.2610  0.0000  0.2610
La  0.3892  0.6281  0.7612
La  0.6108  0.3719  0.2388
La  0.7390  0.0000  0.7390
La  0.8037  0.8037  0.0000
La  0.8669  0.6281  0.2388
Zn  0.3113  0.8113  0.5000
Zn  0.6887  0.1887  0.5000
Tc  0.0000  0.5000  0.5000

No. 8
La8ZnTc2 | PBE | relaxed

* DOS(E_F): 12.770 states/eV/cell
* electronic total energy: -5.582 eV per atom

Unit cell a=8.1094 b=8.1094 c=6.0771 alpha=98.76 beta=98.76 gamma=115.62
Sites, in units of the cell vectors:
La  0.0000  0.0000  0.0000
La  0.0485  0.3080  0.6372
La  0.2019  0.6546  0.2339
La  0.3080  0.0485  0.6372
La  0.4766  0.7482  0.8348
La  0.6546  0.2019  0.2339
La  0.7482  0.4766  0.8348
La  0.7577  0.7577  0.4095
Zn  0.3800  0.3800  0.0971
Tc  0.0278  0.6264  0.6684
Tc  0.6264  0.0278  0.6684

No. 9
La6ZnTc | PBE | relaxed

* DOS(E_F): 20.912 states/eV/cell
* electronic total energy: -5.159 eV per atom

Unit cell a=5.1809 b=5.1809 c=18.3928 alpha=90.00 beta=90.00 gamma=90.00
Sites, in units of the cell vectors:
La  0.0000  0.0000  0.2472
La  0.0000  0.0000  0.7528
La  0.0000  0.5000  0.0963
La  0.0000  0.5000  0.4037
La  0.0000  0.5000  0.5963
La  0.0000  0.5000  0.9037
La  0.5000  0.0000  0.0963
La  0.5000  0.0000  0.4037
La  0.5000  0.0000  0.5963
La  0.5000  0.0000  0.9037
La  0.5000  0.5000  0.2528
La  0.5000  0.5000  0.7472
Zn  0.0000  0.0000  0.0000
Zn  0.5000  0.5000  0.5000
Tc  0.0000  0.0000  0.5000
Tc  0.5000  0.5000  0.0000

No. 10
LaZnTc3 | PBE | relaxed

* DOS(E_F): 7.382 states/eV/cell
* energy above the lowest structure with this stoichiometry: 0 meV/atom

Unit cell a=4.6768 b=4.6768 c=4.6768 alpha=90.00 beta=90.00 gamma=90.00
Sites, in units of the cell vectors:
La  0.0000  0.0000  0.0000
Zn  0.5000  0.5000  0.5000
Tc  0.0000  0.5000  0.5000
Tc  0.5000  0.0000  0.5000
Tc  0.5000  0.5000  0.0000

No. 11
La2Zr2Tc | PBE | relaxed

* DOS(E_F): 13.949 states/eV/cell
* energy above the lowest structure with this stoichiometry: 0 meV/atom

Unit cell a=6.8970 b=6.8970 c=5.6497 alpha=90.00 beta=90.00 gamma=90.00
Sites, in units of the cell vectors:
La  0.1704  0.3296  0.0000
La  0.3296  0.8296  0.0000
La  0.6704  0.1704  0.0000
La  0.8296  0.6704  0.0000
Zr  0.1580  0.6580  0.5000
Zr  0.3420  0.1580  0.5000
Zr  0.6580  0.8420  0.5000
Zr  0.8420  0.3420  0.5000
Tc  0.0000  0.0000  0.5000
Tc  0.5000  0.5000  0.5000

No. 12
La2ZrTc2 | PBE | relaxed

* DOS(E_F): 17.693 states/eV/cell
* energy above the lowest structure with this stoichiometry: 505 meV/atom

Unit cell a=4.4260 b=4.4260 c=12.4925 alpha=90.00 beta=90.00 gamma=90.00
Sites, in units of the cell vectors:
La  0.0000  0.5000  0.2500
La  0.0000  0.5000  0.7500
La  0.5000  0.0000  0.2500
La  0.5000  0.0000  0.7500
Zr  0.0000  0.0000  0.0000
Zr  0.5000  0.5000  0.5000
Tc  0.0000  0.0000  0.4096
Tc  0.0000  0.0000  0.5904
Tc  0.5000  0.5000  0.0904
Tc  0.5000  0.5000  0.9096

No. 13
La2ZrTc2 | PBE | relaxed

* DOS(E_F): 16.057 states/eV/cell
* energy above the lowest structure with this stoichiometry: 0 meV/atom

Unit cell a=7.0355 b=7.0355 c=4.9353 alpha=90.00 beta=90.00 gamma=90.00
Sites, in units of the cell vectors:
La  0.1785  0.3215  0.0000
La  0.3215  0.8215  0.0000
La  0.6785  0.1785  0.0000
La  0.8215  0.6785  0.0000
Zr  0.0000  0.0000  0.5000
Zr  0.5000  0.5000  0.5000
Tc  0.1203  0.6203  0.5000
Tc  0.3797  0.1203  0.5000
Tc  0.6203  0.8797  0.5000
Tc  0.8797  0.3797  0.5000

| no. | total magnetic moment (μB/f.u.) |
| --- | --- |
| 1 | 0.0 |
| 2 | 3.0 |
| 3 | 2.3 |
| 4 | 0.0 |
| 5 | 0.0 |
| 6 | 0.0 |
| 7 | 0.0 |
| 8 | 0.0 |
| 9 | 0.0 |
| 10 | 2.8 |
| 11 | 0.0 |
| 12 | 0.0 |
| 13 | 0.0 |